Material: FePd6Pb
Method: DFT, PBE
State: optimized geometry

a b c (Å): 4.0208 4.0208 7.9474
angles (deg): 90.00 90.00 90.00
With the nearest neighbours (Å) after each atom.
Sites, in units of the cell vectors:
1 Pd 0.5000 0.5000 0.0000  4 Pb 2.84, 8 Pd 2.93
2 Pd 0.5000 0.0000 0.7326  2 Fe 2.73, 8 Pd 2.73-2.93, 2 Pb 2.93
3 Pd 0.5000 0.0000 0.2674  2 Fe 2.73, 8 Pd 2.73-2.93, 2 Pb 2.93
4 Pd 0.0000 0.5000 0.2674  2 Fe 2.73, 8 Pd 2.73-2.93, 2 Pb 2.93
5 Pd 0.0000 0.5000 0.7326  2 Fe 2.73, 8 Pd 2.73-2.93, 2 Pb 2.93
6 Pd 0.5000 0.5000 0.5000  8 Pd 2.73, 4 Fe 2.84
7 Fe 0.0000 0.0000 0.5000  12 Pd 2.73-2.84
8 Pb 0.0000 0.0000 0.0000  12 Pd 2.84-2.93

Properties
- calculated density (Mg/m³) = 11.65
- energy of formation (eV per atom) = -0.1723
- SG = No. 123

---

Material: Ac6Tl3BiSe2
Method: DFT, PBE
State: optimized geometry

a b c (Å): 4.5631 9.8635 10.9038
angles (deg): 110.20 102.08 90.00
With the nearest neighbours (Å) after each atom.
Sites, in units of the cell vectors:
1 Tl 0.8397 0.1858 0.6795  6 Ac 3.43-3.50
2 Tl 0.1603 0.8142 0.3205  6 Ac 3.43-3.50
3 Tl 0.5000 0.5000 0.0000  6 Ac 3.40-3.48
4 Ac 0.6715 0.5641 0.3429  3 Se 3.18-3.25, 3 Tl 3.43-3.48
5 Ac 0.0090 0.2518 0.0180  1 Se 3.23, 2 Bi 3.33, 3 Tl 3.40-3.43
6 Ac 0.6684 0.0889 0.3367  2 Se 3.28, 1 Bi 3.38, 3 Tl 3.44-3.50
7 Ac 0.3316 0.9111 0.6633  2 Se 3.28, 1 Bi 3.38, 3 Tl 3.44-3.50
8 Ac 0.9910 0.7482 0.9820  1 Se 3.23, 2 Bi 3.33, 3 Tl 3.40-3.43
9 Ac 0.3285 0.4359 0.6571  3 Se 3.18-3.25, 3 Tl 3.43-3.48
10 Bi 0.5000 0.0000 0.0000  6 Ac 3.33-3.38
11 Se 0.8308 0.6718 0.6616  6 Ac 3.18-3.28
12 Se 0.1692 0.3282 0.3384  6 Ac 3.18-3.28

Properties
- calculated density (Mg/m³) = 8.66
- SG = No. 12
- uncorrected formation energy (kcal/mol of atoms) = -20.543

---

Material: ZnAgMo2
Method: DFT, PBE
State: optimized geometry

a b c (Å): 2.6724 2.6724 8.7975
angles (deg): 90.00 90.00 90.00
With the nearest neighbours (Å) after each atom.
Sites, in units of the cell vectors:
1 Mo 0.0000 0.0000 0.4881  4 Mo 2.67, 4 Zn 2.82, 4 Ag 2.98
2 Mo 0.0000 0.0000 0.0119  4 Mo 2.67, 4 Zn 2.82, 4 Ag 2.98
3 Zn 0.5000 0.5000 0.2500  4 Zn 2.67, 8 Mo 2.82
4 Ag 0.5000 0.5000 0.7500  4 Ag 2.67, 8 Mo 2.98

Properties
- calculated density (Mg/m³) = 9.65
- energy of formation (eV per atom) = 0.3033
- SG = No. 123

---

Material: TbHo2Bi
Method: DFT, PBE
State: optimized geometry

a b c (Å): 3.6443 3.6443 10.9462
angles (deg): 80.42 80.42 60.00
With the nearest neighbours (Å) after each atom.
Sites, in units of the cell vectors:
1 Ho 0.2536 0.2536 0.2392  3 Bi 3.32, 3 Tb 3.51, 6 Ho 3.64
2 Ho 0.0800 0.0800 0.7601  3 Bi 3.33, 3 Tb 3.49, 6 Ho 3.64
3 Bi 0.6666 0.6666 0.0001  6 Ho 3.32-3.33, 6 Bi 3.64
4 Tb 0.4998 0.4998 0.5006  6 Ho 3.49-3.51, 6 Tb 3.64

Properties
- calculated density (Mg/m³) = 9.38
- energy of formation (eV per atom) = -0.1865
- SG = No. 160
- ΔE to the lowest computed polymorph (meV per atom) = 145

---

Material: NiPdI4
Method: DFT, PBE
State: optimized geometry

a b c (Å): 3.7717 7.1073 11.0847
angles (deg): 123.53 90.00 105.39
With the nearest neighbours (Å) after each atom.
Sites, in units of the cell vectors:
1 I 0.3515 0.7031 0.9010  2 Ni 2.52
2 I 0.0310 0.0620 0.3603  2 Pd 2.63
3 I 0.6485 0.2969 0.0990  2 Ni 2.52
4 I 0.9690 0.9380 0.6397  2 Pd 2.63
5 Pd 0.5000 0.0000 0.5000  4 I 2.63
6 Ni 0.0000 0.0000 0.0000  4 I 2.52

Properties
- calculated density (Mg/m³) = 4.76
- SG = No. 12
- uncorrected formation energy (kcal/mol of atoms) = -2.987
- ΔE to the lowest computed polymorph (meV per atom) = 0

---

Material: Tm3MgFe
Method: DFT, PBE
State: optimized geometry

a b c (Å): 3.5096 8.9384 16.1485
angles (deg): 90.00 90.00 90.00
With the nearest neighbours (Å) after each atom.
Sites, in units of the cell vectors:
1 Fe 0.2500 0.0515 0.9649  2 Fe 2.28
2 Fe 0.7500 0.9485 0.0351  2 Fe 2.28
3 Fe 0.7500 0.4485 0.4649  2 Fe 2.28
4 Fe 0.2500 0.5515 0.5351  2 Fe 2.28
5 Tm 0.2500 0.5844 0.3532  3 Fe 2.79-2.95
6 Tm 0.7500 0.7944 0.5023  3 Fe 2.84-3.15
7 Tm 0.7500 0.2944 0.9977  3 Fe 2.84-3.15
8 Tm 0.7500 0.4156 0.6468  3 Fe 2.79-2.95
9 Tm 0.7500 0.2652 0.3124  1 Fe 2.96
10 Tm 0.7500 0.9156 0.8532  3 Fe 2.79-2.95
11 Tm 0.2500 0.7056 0.0023  3 Fe 2.84-3.15
12 Tm 0.2500 0.7348 0.6876  1 Fe 2.96
13 Tm 0.2500 0.2056 0.4977  3 Fe 2.84-3.15
14 Tm 0.7500 0.7652 0.1876  1 Fe 2.96
15 Tm 0.2500 0.2348 0.8124  1 Fe 2.96
16 Tm 0.2500 0.0844 0.1468  3 Fe 2.79-2.95
17 Mg 0.7500 0.5498 0.8399  9 Tm 3.28-3.45, 2 Mg 3.51
18 Mg 0.2500 0.4502 0.1601  9 Tm 3.28-3.45, 2 Mg 3.51
19 Mg 0.7500 0.0498 0.6601  9 Tm 3.28-3.45, 2 Mg 3.51
20 Mg 0.2500 0.9502 0.3399  9 Tm 3.28-3.45, 2 Mg 3.51

Properties
- calculated density (Mg/m³) = 7.70
- energy of formation (eV per atom) = -0.0253
- SG = No. 62
- ΔE to the lowest computed polymorph (meV per atom) = 0

---

Material: NpBr3Cl3
Method: DFT, PBE
State: optimized geometry

a b c (Å): 7.1215 7.1215 7.1215
angles (deg): 108.89 108.89 108.89
With the nearest neighbours (Å) after each atom.
Sites, in units of the cell vectors:
1 Np 0.8768 0.8768 0.8768  3 Cl 2.48, 3 Br 2.67
2 Br 0.0122 0.0122 0.3158  1 Np 2.67
3 Br 0.0122 0.3158 0.0122  1 Np 2.67
4 Br 0.3158 0.0122 0.0122  1 Np 2.67
5 Cl 0.5657 0.8521 0.5657  1 Np 2.48
6 Cl 0.8521 0.5657 0.5657  1 Np 2.48
7 Cl 0.5657 0.5657 0.8521  1 Np 2.48

Properties
- calculated density (Mg/m³) = 3.41
- SG = No. 160
- uncorrected formation energy (kcal/mol of atoms) = -22.550

---

Material: Ac10TbSm4
Method: DFT, PBE
State: optimized geometry

a b c (Å): 8.3061 10.1835 10.1835
angles (deg): 80.43 65.93 65.93
With the nearest neighbours (Å) after each atom.
Sites, in units of the cell vectors:
1 Ac 0.1495 0.2991 0.9003  1 Tb 3.59, 3 Sm 3.60
2 Ac 0.7500 0.5000 0.5000  4 Sm 3.60
3 Ac 0.8505 0.7009 0.0997  1 Tb 3.59, 3 Sm 3.60
4 Ac 0.9502 0.9003 0.7009  1 Tb 3.59, 3 Sm 3.60
5 Ac 0.3489 0.7009 0.0997  1 Tb 3.59, 3 Sm 3.60
6 Ac 0.6511 0.2991 0.9003  1 Tb 3.59, 3 Sm 3.60
7 Ac 0.5513 0.0997 0.2991  1 Tb 3.59, 3 Sm 3.60
8 Ac 0.2500 0.5000 0.5000  4 Sm 3.60
9 Ac 0.4487 0.9003 0.7009  1 Tb 3.59, 3 Sm 3.60
10 Ac 0.0498 0.0997 0.2991  1 Tb 3.59, 3 Sm 3.60
11 Sm 0.6000 0.1999 0.6000  8 Ac 3.60
12 Sm 0.4000 0.8001 0.4000  8 Ac 3.60
13 Sm 0.8000 0.6000 0.8001  8 Ac 3.60
14 Sm 0.2000 0.4000 0.1999  8 Ac 3.60
15 Tb 0.0000 0.0000 0.0000  8 Ac 3.59

Properties
- calculated density (Mg/m³) = 7.01
- energy of formation (eV per atom) = 0.5824
- SG = No. 87